DFT (PBE) results for a geometry-optimized SiNiP structure.

abc: 3.8939 3.8939 5.4181
angles: 90.00 90.00 90.00
Positions (direct):
1 Si 0.2500 0.7500 0.0000
2 Si 0.7500 0.2500 0.0000
3 Ni 0.2500 0.2500 0.2510
4 Ni 0.7500 0.7500 0.7490
5 P 0.2500 0.7500 0.5000
6 P 0.7500 0.2500 0.5000

Results
Its calculated volume is 41.1 Å³/f.u. As for the space-group type: P4/nmm, No. 129. Its total energy is -5.659 eV per atom.